Sc4AlIr | PBE | optimized geometry

size of the total moment = 0.0 μB/f.u.
energy above the lowest structure with this stoichiometry = 0 meV per atom
E_tot = -6.90 eV/atom

a = 8.931 Å, b = 8.931 Å, c = 8.931 Å
α = 60.00°, β = 60.00°, γ = 60.00°
Positions (direct):
Al  0.492  0.169  0.169
Al  0.169  0.169  0.492
Al  0.169  0.169  0.169
Al  0.169  0.492  0.169
Sc  0.395  0.816  0.395
Sc  0.554  0.554  0.946
Sc  0.395  0.395  0.395
Sc  0.946  0.946  0.554
Sc  0.811  0.189  0.811
Sc  0.811  0.811  0.189
Sc  0.554  0.946  0.554
Sc  0.811  0.189  0.189
Sc  0.395  0.395  0.816
Sc  0.189  0.189  0.811
Sc  0.946  0.554  0.946
Sc  0.189  0.811  0.811
Sc  0.189  0.811  0.189
Sc  0.816  0.395  0.395
Sc  0.946  0.554  0.554
Sc  0.554  0.946  0.946
Ir  0.177  0.608  0.608
Ir  0.608  0.608  0.608
Ir  0.608  0.608  0.177
Ir  0.608  0.177  0.608